--- a ---
Here is Te2WCl after structural relaxation from the Alexandria database. Energies are from PBEsol.

Symmetry   P4/mmm, No. 123
Crystal system   tetragonal
Total magnetization   0.00 μB/cell

Cell and atoms, written as POSCAR:
```
Te2WCl
1.0
-1.921 -2.079 1.632
2.509 -2.068 0.319
2.036 3.535 6.899
Te W Cl
2 1 1
Direct
0.000 0.000 0.791
0.000 0.000 0.209
0.500 0.500 0.000
0.500 0.500 0.500
```



--- b ---
Here is Te2WCl after structural relaxation from the Alexandria database. Energies are from PBEsol.

Symmetry   R-3m, No. 166
Crystal system   trigonal
Total magnetization   0.00 μB/cell

Cell and atoms, written as POSCAR:
```
Te2WCl
1.0
-1.722 0.878 -2.939
0.541 -1.815 -2.965
-6.601 -5.551 0.105
W Te Cl
1 2 1
Direct
0.500 0.500 0.500
0.760 0.760 0.719
0.240 0.240 0.281
0.000 0.000 0.000
```



--- c ---
Here is Te2WCl after structural relaxation from the Alexandria database. Energies are from PBEsol.

Symmetry   P4/mmm, No. 123
Crystal system   tetragonal
Total magnetization   2.39 μB/cell

Cell and atoms, written as POSCAR:
```
Te2WCl
1.0
-1.134 -2.125 3.492
-1.139 -3.316 -2.388
4.457 -1.790 0.358
W Cl Te
1 1 2
Direct
0.500 0.500 0.500
0.000 0.000 0.500
0.000 0.500 0.000
0.500 0.000 0.000
```



The relative energies come out as a 11.6; b 0.0; c 106.1, with values in kJ/mol of atoms.



--- a ---
Here is YTe2Cl after structural relaxation from the Alexandria database. Energies are from PBEsol.

Symmetry   I-42d, No. 122
Crystal system   tetragonal
Total magnetization   0.00 μB/cell

Cell and atoms, written as POSCAR:
```
YTe2Cl
1.0
-1.194 0.879 4.038
0.099 -4.196 0.942
11.685 2.614 0.596
Y Te Cl
2 4 2
Direct
0.250 0.750 0.500
0.000 0.000 0.000
0.125 0.119 0.750
0.369 0.875 0.250
0.625 0.631 0.750
0.881 0.375 0.250
0.750 0.250 0.500
0.500 0.500 0.000
```



--- b ---
Here is YTe2Cl after structural relaxation from the Alexandria database. Energies are from PBEsol.

Symmetry   R-3m, No. 166
Crystal system   trigonal
Total magnetization   0.00 μB/cell

Cell and atoms, written as POSCAR:
```
YTe2Cl
1.0
4.466 0.000 0.000
2.233 3.867 0.000
2.233 1.289 8.454
Te Y Cl
2 1 1
Direct
0.103 0.103 0.690
0.897 0.897 0.310
0.500 0.500 0.500
0.000 0.000 0.000
```



The relative energies come out as a 4.2; b 0.0, with values in kJ/mol of atoms.



--- a ---
Here is Y2TeCl after structural relaxation from the Alexandria database. Energies are from PBEsol.

Symmetry   P2/m, No. 10
Crystal system   monoclinic
Total magnetization   0.00 μB/cell

Cell and atoms, written as POSCAR:
```
Y2TeCl
1.0
3.841 0.000 0.000
0.000 4.562 0.066
0.000 -1.594 5.737
Cl Te Y
1 1 2
Direct
0.500 0.500 0.000
0.000 0.000 0.500
0.500 0.500 0.500
0.000 0.000 0.000
```



--- b ---
Here is Y2TeCl after structural relaxation from the Alexandria database. Energies are from PBEsol.

Symmetry   F-43m, No. 216
Crystal system   cubic
Total magnetization   0.63 μB/cell

Cell and atoms, written as POSCAR:
```
Y2TeCl
1.0
-0.282 2.473 -4.628
0.687 -2.689 -4.462
-4.078 -0.868 -3.199
Cl Y Te
1 2 1
Direct
0.500 0.500 0.500
0.000 0.000 0.000
0.750 0.750 0.750
0.250 0.250 0.250
```



--- c ---
Here is Y2TeCl after structural relaxation from the Alexandria database. Energies are from PBEsol.

Symmetry   P4mm, No. 99
Crystal system   tetragonal
Total magnetization   0.00 μB/cell

Cell and atoms, written as POSCAR:
```
Y2TeCl
1.0
-2.201 0.404 3.244
2.237 -2.665 1.850
3.895 4.699 2.058
Y Cl Te
2 1 1
Direct
0.500 0.500 0.310
0.000 0.000 0.978
0.000 0.000 0.408
0.500 0.500 0.805
```



The relative energies come out as a 13.8; b 91.8; c 0.0, with values in kJ/mol of atoms.



--- a ---
Here is ZnTe2Cl after structural relaxation from the Alexandria database. Energies are from PBEsol.

Symmetry   Immm, No. 71
Crystal system   orthorhombic
Total magnetization   0.00 μB/cell

Cell and atoms, written as POSCAR:
```
ZnTe2Cl
1.0
3.636 0.000 0.000
0.000 4.772 0.000
-1.818 -2.386 5.390
Cl Te Zn
1 2 1
Direct
0.000 0.500 0.000
0.799 0.799 0.598
0.201 0.201 0.402
0.500 0.000 0.000
```



--- b ---
Here is ZnTe2Cl after structural relaxation from the Alexandria database. Energies are from PBEsol.

Symmetry   Cmmm, No. 65
Crystal system   orthorhombic
Total magnetization   0.00 μB/cell

Cell and atoms, written as POSCAR:
```
ZnTe2Cl
1.0
3.763 0.077 0.000
-1.624 3.396 0.000
0.000 0.000 7.775
Cl Te Zn
1 2 1
Direct
0.500 0.500 0.000
0.000 0.000 0.710
0.000 0.000 0.290
0.500 0.500 0.500
```



The relative energies come out as a 0.0; b 6.3, with values in kJ/mol of atoms.



--- a ---
Here is Tl2Cl after structural relaxation from the Alexandria database. Energies are from PBEsol.

Symmetry   Pnnm, No. 58
Crystal system   orthorhombic
Total magnetization   0.00 μB/cell

Cell and atoms, written as POSCAR:
```
Tl2Cl
1.0
3.463 0.000 0.000
0.000 8.524 0.000
0.000 0.000 5.732
Cl Tl
2 4
Direct
0.500 0.500 0.500
0.000 0.000 0.000
0.000 0.200 0.496
0.500 0.300 0.996
0.500 0.700 0.004
0.000 0.800 0.504
```



--- b ---
Here is Tl2Cl after structural relaxation from the Alexandria database. Energies are from PBEsol.

Symmetry   I4/mmm, No. 139
Crystal system   tetragonal
Total magnetization   0.00 μB/cell

Cell and atoms, written as POSCAR:
```
Tl2Cl
1.0
-2.697 2.389 1.440
-2.789 -2.334 -1.352
2.789 -2.736 4.535
Tl Cl
2 1
Direct
0.341 0.341 0.683
0.659 0.659 0.317
0.000 0.000 0.000
```



--- c ---
Here is Tl2Cl after structural relaxation from the Alexandria database. Energies are from PBEsol.

Symmetry   P6_3/mmc, No. 194
Crystal system   hexagonal
Total magnetization   0.00 μB/cell

Cell and atoms, written as POSCAR:
```
Tl2Cl
1.0
5.505 0.000 0.000
-2.752 4.767 0.000
0.000 0.000 6.369
Tl Cl
4 2
Direct
0.000 0.000 0.500
0.333 0.667 0.750
0.000 0.000 0.000
0.667 0.333 0.250
0.333 0.667 0.250
0.667 0.333 0.750
```



The relative energies come out as a 2.0; b 0.0; c 1.0, with values in kJ/mol of atoms.



--- a ---
Here is Zr2TlCl after structural relaxation from the Alexandria database. Energies are from PBEsol.

Symmetry   Immm, No. 71
Crystal system   orthorhombic
Total magnetization   0.00 μB/cell

Cell and atoms, written as POSCAR:
```
Zr2TlCl
1.0
3.153 0.000 0.000
-1.576 5.484 -0.009
0.000 -2.912 4.857
Zr Cl Tl
2 1 1
Direct
0.721 0.441 0.721
0.279 0.559 0.279
0.000 0.000 0.500
0.500 0.000 0.000
```



--- b ---
Here is Zr2TlCl after structural relaxation from the Alexandria database. Energies are from PBEsol.

Symmetry   P4/mmm, No. 123
Crystal system   tetragonal
Total magnetization   0.00 μB/cell

Cell and atoms, written as POSCAR:
```
Zr2TlCl
1.0
3.177 0.000 0.000
0.000 3.177 0.000
0.000 0.000 7.579
Zr Cl Tl
2 1 1
Direct
0.000 0.000 0.222
0.000 0.000 0.778
0.500 0.500 0.000
0.500 0.500 0.500
```



--- c ---
Here is Zr2TlCl after structural relaxation from the Alexandria database. Energies are from PBEsol.

Symmetry   Cm, No. 8
Crystal system   monoclinic
Total magnetization   0.00 μB/cell

Cell and atoms, written as POSCAR:
```
Zr2TlCl
1.0
3.234 0.000 0.000
0.000 4.680 -0.068
-1.617 -2.276 5.499
Tl Zr Cl
1 2 1
Direct
0.773 0.270 0.547
0.980 0.983 0.960
0.214 0.709 0.428
0.532 0.537 0.065
```



The relative energies come out as a 3.9; b 0.0; c 8.8, with values in kJ/mol of atoms.



--- a ---
Here is Zr2TlCl after structural relaxation from the Alexandria database. Energies are from PBEsol.

Symmetry   Pmm2, No. 25
Crystal system   orthorhombic
Total magnetization   0.00 μB/cell

Cell and atoms, written as POSCAR:
```
Zr2TlCl
1.0
-0.552 2.569 -1.993
-3.594 -1.133 -0.465
-1.897 3.795 5.417
Zr Cl Tl
2 1 1
Direct
0.500 0.500 0.295
0.000 0.000 0.020
0.000 0.000 0.410
0.500 0.500 0.776
```



--- b ---
Here is Zr2TlCl after structural relaxation from the Alexandria database. Energies are from PBEsol.

Symmetry   R-3m, No. 166
Crystal system   trigonal
Total magnetization   0.00 μB/cell

Cell and atoms, written as POSCAR:
```
Zr2TlCl
1.0
3.189 0.000 0.000
1.594 2.762 0.000
1.594 0.921 9.127
Zr Tl Cl
2 1 1
Direct
0.758 0.758 0.727
0.242 0.242 0.273
0.000 0.000 0.000
0.500 0.500 0.500
```



The relative energies come out as a 5.4; b 0.0, with values in kJ/mol of atoms.



--- a ---
Here is WCl3 after structural relaxation from the Alexandria database. Energies are from PBEsol.

Symmetry   P4/mmm, No. 123
Crystal system   tetragonal
Total magnetization   0.01 μB/cell

Cell and atoms, written as POSCAR:
```
WCl3
1.0
-2.050 1.162 1.803
-1.910 0.146 -2.266
-2.624 -7.329 1.738
Cl W
3 1
Direct
0.000 0.000 0.316
0.500 0.500 0.000
0.000 0.000 0.684
0.500 0.500 0.500
```



--- b ---
Here is WCl3 after structural relaxation from the Alexandria database. Energies are from PBEsol.

Symmetry   R-3, No. 148
Crystal system   trigonal
Total magnetization   2.13 μB/cell

Cell and atoms, written as POSCAR:
```
WCl3
1.0
8.505 0.000 0.000
-2.835 8.749 0.000
2.835 4.374 7.577
Cl W
18 6
Direct
0.523 0.196 0.527
0.751 0.648 0.402
0.453 0.253 0.851
0.249 0.352 0.598
0.477 0.804 0.473
0.304 0.851 0.896
0.104 0.951 0.648
0.153 0.402 0.951
0.547 0.747 0.149
0.050 0.527 0.277
0.950 0.473 0.723
0.200 0.896 0.253
0.847 0.598 0.049
0.896 0.049 0.352
0.327 0.277 0.196
0.673 0.723 0.804
0.696 0.149 0.104
0.800 0.104 0.747
0.760 0.911 0.217
0.023 0.783 0.128
0.977 0.217 0.872
0.849 0.872 0.911
0.240 0.089 0.783
0.151 0.128 0.089
```



The relative energies come out as a 94.6; b 0.0, with values in kJ/mol of atoms.